Record 1
Computed, not measured: an optimized crystal structure of Ti5Os3 at the PBE-GGA level of DFT.

Its formation energy from the elements is -0.241 eV per atom.

It has space group P-62m (No. 189), with a = 7.1404 Å, b = 7.1404 Å, c = 2.9062 Å, α = 90.00°, β = 90.00° and γ = 120.00°. The distinct sites, in fractional coordinates, are Ti at (0.0000, 0.7717, 0.0000), Ti at (0.3333, 0.6667, 0.0000) and Os at (0.0000, 0.3555, 0.5000).

=====

Record 2
Computed, not measured: an optimized crystal structure of TiTlOs3 at the PBE-GGA level of DFT.

Its formation energy from the elements is 2.916 eV per atom. The relative energy among the computed polymorphs comes out at 553 kJ/mol of formula units.

It has space group Pm-3m (No. 221), with a = 4.8376 Å, b = 4.8376 Å, c = 4.8376 Å, α = 90.00°, β = 90.00° and γ = 90.00°. The distinct sites, in fractional coordinates, are Ti at (0.0000, 0.0000, 0.0000), Tl at (0.5000, 0.5000, 0.5000) and Os at (0.0000, 0.5000, 0.5000).

=====

Record 3
Computed, not measured: an optimized crystal structure of Ti6TlOs at the PBE-GGA level of DFT.

Its formation energy from the elements is -0.104 eV per atom.

It has space group Amm2 (No. 38), with a = 4.4203 Å, b = 6.7281 Å, c = 9.2084 Å, α = 90.00°, β = 90.00° and γ = 90.00°. The distinct sites, in fractional coordinates, are Ti at (0.0000, 0.0000, 0.0000), Ti at (0.0000, 0.2259, 0.2430), Ti at (0.5000, 0.0000, 0.2070), Ti at (0.5000, 0.2266, 0.4815), Tl at (0.5000, 0.0000, 0.7468) and Os at (0.0000, 0.0000, 0.4777).

=====

Record 4
Computed, not measured: an optimized crystal structure of TiTl3Os at the PBE-GGA level of DFT.

Its formation energy from the elements is 1.139 eV per atom.

It has space group Pm-3m (No. 221), with a = 5.2287 Å, b = 5.2287 Å, c = 5.2287 Å, α = 90.00°, β = 90.00° and γ = 90.00°. The distinct sites, in fractional coordinates, are Ti at (0.0000, 0.0000, 0.0000), Tl at (0.0000, 0.5000, 0.5000) and Os at (0.5000, 0.5000, 0.5000).

=====

Record 5
Computed, not measured: an optimized crystal structure of TiTlOs2 at the PBE-GGA level of DFT.

Its formation energy from the elements is 0.783 eV per atom. The relative energy among the computed polymorphs comes out at 178 kJ/mol of formula units.

It has space group I-42d (No. 122), with a = 4.1084 Å, b = 4.1084 Å, c = 18.1051 Å, α = 90.00°, β = 90.00° and γ = 90.00°. The distinct sites, in fractional coordinates, are Ti at (0.0000, 0.0000, 0.0000), Tl at (0.0000, 0.0000, 0.5000) and Os at (0.1713, 0.2500, 0.1250).

=====

Record 6
Computed, not measured: an optimized crystal structure of TiTlOs3 at the PBE-GGA level of DFT.

Its formation energy from the elements is 1.769 eV per atom. The relative energy among the computed polymorphs comes out at 0 kJ/mol of formula units.

It has space group Pm-3m (No. 221), with a = 4.6145 Å, b = 4.6145 Å, c = 4.6145 Å, α = 90.00°, β = 90.00° and γ = 90.00°. The distinct sites, in fractional coordinates, are Ti at (0.0000, 0.0000, 0.0000), Tl at (0.5000, 0.5000, 0.5000) and Os at (0.0000, 0.0000, 0.5000).

=====

Record 7
Computed, not measured: an optimized crystal structure of TiTlOs2 at the PBE-GGA level of DFT.

Its formation energy from the elements is 0.323 eV per atom. The relative energy among the computed polymorphs comes out at 0 kJ/mol of formula units.

It has space group Fm-3m (No. 225), with a = 6.3961 Å, b = 6.3961 Å, c = 6.3961 Å, α = 90.00°, β = 90.00° and γ = 90.00°. The distinct sites, in fractional coordinates, are Ti at (0.0000, 0.0000, 0.0000), Tl at (0.0000, 0.0000, 0.5000) and Os at (0.2500, 0.2500, 0.2500).

=====

Record 8
Computed, not measured: an optimized crystal structure of Ti2TlOs2 at the PBE-GGA level of DFT.

Its formation energy from the elements is -0.030 eV per atom.

It has space group P4/mbm (No. 127), with a = 7.5375 Å, b = 7.5375 Å, c = 3.0251 Å, α = 90.00°, β = 90.00° and γ = 90.00°. The distinct sites, in fractional coordinates, are Ti at (0.1488, 0.3512, 0.0000), Tl at (0.0000, 0.0000, 0.5000) and Os at (0.1396, 0.6396, 0.5000).

=====

Computed magnetization, in the same sequence as the records: 0.00 0.00 0.00 0.17 0.00 1.02 0.00 0.00 μB per cell.